## Y3GaTeCl (PBE)

Data for Y3GaTeCl after structural relaxation.

a = 4.077 Å, b = 8.689 Å, c = 9.792 Å
α = 97.14°, β = 90.00°, γ = 90.00°
Positions (direct):
Y 0.750 0.803 0.112
Y 0.250 0.197 0.888
Y 0.250 0.630 0.399
Y 0.750 0.370 0.601
Y 0.750 0.334 0.199
Y 0.250 0.666 0.801
Ga 0.250 0.544 0.087
Ga 0.750 0.456 0.913
Te 0.250 0.075 0.181
Te 0.750 0.925 0.819
Cl 0.250 0.160 0.597
Cl 0.750 0.840 0.403

## Properties
- D(E_F) (states/eV per cell) = 9.956
- magnetic moment (Bohr magnetons per cell) = 0.00
- raw formation energy (eV per atom) = -1.0893

## TaRh5 (PBE)

Data for TaRh5 after structural relaxation.

a = 4.809 Å, b = 4.809 Å, c = 4.396 Å
α = 90.00°, β = 90.00°, γ = 120.00°
Positions (direct):
Rh 0.992 0.000 0.000
Rh 0.675 0.341 0.000
Rh 0.333 0.659 0.000
Rh 0.000 0.333 0.500
Rh 0.667 0.667 0.500
Ta 0.333 0.000 0.500

## Properties
- D(E_F) (states/eV per cell) = 8.100
- calculated formation energy (meV per atom) = -351.6
- magnetic moment (Bohr magnetons per cell) = 0.00

## Mn2InH2 (PBE)

Data for Mn2InH2 after structural relaxation.

a = 6.607 Å, b = 6.607 Å, c = 2.702 Å
α = 90.00°, β = 90.00°, γ = 90.00°
Each line ends with the local moment (μB).
Positions (direct):
H 0.097 0.597 0.500  -0.02
H 0.597 0.903 0.500  -0.02
H 0.903 0.403 0.500  -0.02
H 0.403 0.097 0.500  -0.02
Mn 0.393 0.893 0.000  0.96
Mn 0.893 0.607 0.000  0.91
Mn 0.607 0.107 0.000  0.96
Mn 0.107 0.393 0.000  0.91
In 0.000 0.000 0.000  -0.03
In 0.500 0.500 0.000  -0.03

## Properties
- D(E_F) (states/eV per cell) = 8.706
- magnetic moment (Bohr magnetons per cell) = 3.75
- excess energy over the best structure of this formula in the dataset (kJ per mole of atoms) = 58.63

## PmCdP (PBE)

Data for PmCdP after structural relaxation.

a = 5.195 Å, b = 4.152 Å, c = 4.152 Å
α = 120.00°, β = 90.00°, γ = 90.00°
Positions (direct):
P 0.992 0.000 0.000
Cd 0.730 0.667 0.333
Pm 0.278 0.333 0.667

## Properties
- D(E_F) (states/eV per cell) = 0.071
- calculated formation energy (meV per atom) = -645.7
- magnetic moment (Bohr magnetons per cell) = 0.00
- excess energy over the best structure of this formula in the dataset (kJ per mole of atoms) = 0.00

## Ba3Li5In6 (PBE)

Data for Ba3Li5In6 after structural relaxation.

a = 4.967 Å, b = 10.804 Å, c = 14.656 Å
α = 90.00°, β = 90.00°, γ = 90.00°
Positions (direct):
Ba 0.000 0.238 0.701
Ba 0.500 0.762 0.201
Ba 0.500 0.762 0.799
Ba 0.000 0.281 0.000
Ba 0.500 0.719 0.500
Ba 0.000 0.238 0.299
Li 0.000 0.554 0.883
Li 0.000 0.884 0.667
Li 0.000 0.772 0.000
Li 0.500 0.446 0.617
Li 0.500 0.228 0.500
Li 0.000 0.554 0.117
Li 0.500 0.446 0.383
Li 0.000 0.884 0.333
Li 0.500 0.116 0.833
Li 0.500 0.116 0.167
In 0.000 0.983 0.873
In 0.500 0.017 0.627
In 0.500 0.425 0.817
In 0.500 0.574 0.000
In 0.000 0.426 0.500
In 0.000 0.575 0.683
In 0.000 0.575 0.317
In 0.500 0.956 0.000
In 0.000 0.983 0.127
In 0.500 0.425 0.183
In 0.000 0.044 0.500
In 0.500 0.017 0.373

## Properties
- D(E_F) (states/eV per cell) = 12.130
- calculated formation energy (meV per atom) = -316.5
- magnetic moment (Bohr magnetons per cell) = 0.00

## MgInRe (PBE)

Data for MgInRe after structural relaxation.

a = 4.676 Å, b = 4.676 Å, c = 2.814 Å
α = 90.00°, β = 90.00°, γ = 120.00°
Positions (direct):
In 0.000 0.000 0.024
Mg 0.333 0.667 0.306
Re 0.667 0.333 0.670

## Properties
- D(E_F) (states/eV per cell) = 1.454
- calculated formation energy (meV per atom) = 419.0
- magnetic moment (Bohr magnetons per cell) = 0.00
- excess energy over the best structure of this formula in the dataset (kJ per mole of atoms) = 0.00